{
  "formula": "Dy2FeN",
  "functional": "PBE-GGA",
  "state": "optimized geometry",
  "cell": [[3.3345, 0.0000, 0.0000], [1.6672, 2.8878, 0.0000], [1.6672, 0.9626, 8.2165]],
  "species": ["Dy", "Dy", "N", "Fe"],
  "fractional_positions": [[0.8892, 0.8892, 0.3323], [0.1108, 0.1108, 0.6677], [0.5000, 0.5000, 0.5000], [0.0000, 0.0000, 0.0000]]
}



{
  "formula": "Dy2Fe17N3",
  "functional": "PBE-GGA",
  "state": "optimized geometry",
  "cell": [[-2.2186, -5.9319, -1.4891], [3.8826, -3.3265, 4.0233], [-4.2240, -0.5198, 4.9209]],
  "species": ["Fe", "Fe", "Fe", "Fe", "Fe", "Fe", "Fe", "Fe", "Fe", "Fe", "Fe", "Fe", "Fe", "Fe", "Fe", "Fe", "Fe", "N", "N", "N", "Dy", "Dy"],
  "fractional_positions": [[0.0949, 0.0949, 0.0949], [0.7175, 0.0000, 0.2825], [0.2825, 0.0000, 0.7175], [0.8558, 0.3430, 0.3430], [0.6570, 0.6570, 0.1442], [0.6570, 0.1442, 0.6570], [0.0000, 0.0000, 0.5000], [0.7175, 0.2825, 0.0000], [0.9051, 0.9051, 0.9051], [0.0000, 0.2825, 0.7175], [0.0000, 0.5000, 0.0000], [0.2825, 0.7175, 0.0000], [0.3430, 0.8558, 0.3430], [0.5000, 0.0000, 0.0000], [0.1442, 0.6570, 0.6570], [0.3430, 0.3430, 0.8558], [0.0000, 0.7175, 0.2825], [0.0000, 0.5000, 0.5000], [0.5000, 0.5000, 0.0000], [0.5000, 0.0000, 0.5000], [0.3418, 0.3418, 0.3418], [0.6582, 0.6582, 0.6582]]
}



{
  "formula": "Dy3Fe5N12",
  "functional": "PBE-GGA",
  "state": "optimized geometry",
  "cell": [[10.4830, 0.0000, 0.0000], [-3.4943, 9.8835, 0.0000], [-3.4943, -4.9417, 8.5594]],
  "species": ["N", "N", "N", "N", "N", "N", "N", "N", "N", "N", "N", "N", "N", "N", "N", "N", "N", "N", "N", "N", "N", "N", "N", "N", "N", "N", "N", "N", "N", "N", "N", "N", "N", "N", "N", "N", "N", "N", "N", "N", "N", "N", "N", "N", "N", "N", "N", "N", "Fe", "Fe", "Fe", "Fe", "Fe", "Fe", "Fe", "Fe", "Fe", "Fe", "Fe", "Fe", "Fe", "Fe", "Fe", "Fe", "Fe", "Fe", "Fe", "Fe", "Dy", "Dy", "Dy", "Dy", "Dy", "Dy", "Dy", "Dy", "Dy", "Dy", "Dy", "Dy"],
  "fractional_positions": [[0.8015, 0.3136, 0.9129], [0.5871, 0.6985, 0.6864], [0.3136, 0.8015, 0.4129], [0.3015, 0.4129, 0.8136], [0.0993, 0.9129, 0.1115], [0.3885, 0.4007, 0.0871], [0.4007, 0.0121, 0.3136], [0.4129, 0.3015, 0.3136], [0.0993, 0.1864, 0.4879], [0.5993, 0.9879, 0.6864], [0.3885, 0.9879, 0.8015], [0.0121, 0.6115, 0.6985], [0.1985, 0.6864, 0.0871], [0.4129, 0.1115, 0.5993], [0.8885, 0.5871, 0.9007], [0.8015, 0.4879, 0.3885], [0.1115, 0.6985, 0.5121], [0.9879, 0.5993, 0.1864], [0.8885, 0.3015, 0.4879], [0.4007, 0.3885, 0.5871], [0.3136, 0.5121, 0.4007], [0.9007, 0.8136, 0.5121], [0.0871, 0.1864, 0.1985], [0.8136, 0.9129, 0.3015], [0.4879, 0.8015, 0.8885], [0.0121, 0.4007, 0.8136], [0.4879, 0.6864, 0.0993], [0.6864, 0.1985, 0.5871], [0.5121, 0.1985, 0.1115], [0.6985, 0.1115, 0.0121], [0.6864, 0.4879, 0.5993], [0.0871, 0.9007, 0.3885], [0.6985, 0.5871, 0.1864], [0.1985, 0.5121, 0.6115], [0.9879, 0.3885, 0.3015], [0.9007, 0.0871, 0.8885], [0.8136, 0.9007, 0.0121], [0.6115, 0.0121, 0.1985], [0.6115, 0.5993, 0.9129], [0.3015, 0.8885, 0.9879], [0.1115, 0.4129, 0.0993], [0.5121, 0.3136, 0.9007], [0.9129, 0.8136, 0.8015], [0.1864, 0.0871, 0.6985], [0.9129, 0.0993, 0.6115], [0.5871, 0.8885, 0.4007], [0.5993, 0.6115, 0.4129], [0.1864, 0.0993, 0.9879], [0.5000, 0.5000, 0.0000], [0.7500, 0.1250, 0.8750], [0.3750, 0.1250, 0.7500], [0.0000, 0.5000, 0.0000], [0.0000, 0.5000, 0.5000], [0.3750, 0.2500, 0.1250], [0.5000, 0.5000, 0.5000], [0.1250, 0.3750, 0.2500], [0.6250, 0.8750, 0.2500], [0.0000, 0.0000, 0.5000], [0.1250, 0.7500, 0.3750], [0.2500, 0.3750, 0.6250], [0.8750, 0.6250, 0.7500], [0.0000, 0.0000, 0.0000], [0.2500, 0.8750, 0.1250], [0.7500, 0.6250, 0.3750], [0.6250, 0.7500, 0.8750], [0.5000, 0.0000, 0.0000], [0.8750, 0.2500, 0.6250], [0.5000, 0.0000, 0.5000], [0.7500, 0.3750, 0.1250], [0.8750, 0.1250, 0.2500], [0.6250, 0.3750, 0.7500], [0.3750, 0.7500, 0.6250], [0.2500, 0.1250, 0.3750], [0.3750, 0.6250, 0.2500], [0.8750, 0.7500, 0.1250], [0.1250, 0.8750, 0.7500], [0.6250, 0.2500, 0.3750], [0.7500, 0.8750, 0.6250], [0.1250, 0.2500, 0.8750], [0.2500, 0.6250, 0.8750]]
}



{
  "formula": "NdDy2FeN4",
  "functional": "PBE-GGA",
  "state": "optimized geometry",
  "cell": [[-0.8361, -2.8034, -1.7528], [-2.4024, -0.6053, 5.4316], [-9.6466, 5.1835, -3.6891]],
  "species": ["N", "N", "N", "N", "N", "N", "N", "N", "Dy", "Dy", "Dy", "Dy", "Nd", "Nd", "Fe", "Fe"],
  "fractional_positions": [[0.4126, 0.8252, 0.7500], [0.7329, 0.4659, 0.6299], [0.0000, 0.0000, 0.0000], [0.7329, 0.4659, 0.8701], [0.0000, 0.0000, 0.5000], [0.2671, 0.5341, 0.3701], [0.5874, 0.1748, 0.2500], [0.2671, 0.5341, 0.1299], [0.6321, 0.2641, 0.4552], [0.3679, 0.7359, 0.5448], [0.3679, 0.7359, 0.9552], [0.6321, 0.2641, 0.0448], [0.1153, 0.2306, 0.7500], [0.8847, 0.7694, 0.2500], [0.1560, 0.3120, 0.2500], [0.8440, 0.6880, 0.7500]]
}



{
  "formula": "DyFe2PN",
  "functional": "PBE-GGA",
  "state": "optimized geometry",
  "cell": [[3.5600, 0.0000, 0.0000], [-1.7800, 5.2399, 0.0000], [0.0000, 0.0000, 6.6578]],
  "species": ["P", "P", "Fe", "Fe", "Fe", "Fe", "N", "N", "Dy", "Dy"],
  "fractional_positions": [[0.2702, 0.5404, 0.2500], [0.7298, 0.4596, 0.7500], [0.8337, 0.6674, 0.4459], [0.1663, 0.3326, 0.9459], [0.8337, 0.6674, 0.0541], [0.1663, 0.3326, 0.5541], [0.0000, 0.0000, 0.5000], [0.0000, 0.0000, 0.0000], [0.5446, 0.0892, 0.2500], [0.4554, 0.9108, 0.7500]]
}



{
  "formula": "DyPa2FeN5",
  "functional": "PBE-GGA",
  "state": "optimized geometry",
  "cell": [[3.3529, -0.0001, 0.0000], [-1.6766, 6.7707, 0.0001], [0.0001, 0.0002, 10.0759]],
  "species": ["Dy", "Dy", "Pa", "Pa", "Pa", "Pa", "N", "N", "N", "N", "N", "N", "N", "N", "N", "N", "Fe", "Fe"],
  "fractional_positions": [[0.7997, 0.5993, 0.5005], [0.2003, 0.4007, 0.0005], [0.1351, 0.2701, 0.2996], [0.8943, 0.7884, 0.1841], [0.8649, 0.7299, 0.7996], [0.1057, 0.2116, 0.6842], [0.4809, 0.9618, 0.7787], [0.7182, 0.4362, 0.1804], [0.0396, 0.0791, 0.0650], [0.2818, 0.5638, 0.6804], [0.5191, 0.0382, 0.2787], [0.6591, 0.3183, 0.8522], [0.9604, 0.9209, 0.5651], [0.3409, 0.6816, 0.3522], [0.3720, 0.7440, 0.0007], [0.6280, 0.2560, 0.5007], [0.5178, 0.0356, 0.9628], [0.4822, 0.9644, 0.4628]]
}



| no. | energy (eV per atom) |
| --- | --- |
| 1 | -6.756 |
| 2 | -8.324 |
| 3 | -8.018 |
| 4 | -8.084 |
| 5 | -8.011 |
| 6 | -9.332 |